# 1
## CaSm2Ho3Bi6 (GGA-PBE)

Data for a relaxed structure of CaSm2Ho3Bi6.

Properties
energy of formation	-0.837	eV/atom

Cell: 4.5118 9.0578 10.1182 Å, 103.10 102.88 90.00°
Last column: nearest neighbours and their distance in Å.
Positions (direct):
1 Ca 0.5000 0.0000 0.0000  6 Bi 3.24
2 Sm 0.8342 0.6691 0.6684  6 Bi 3.21-3.23
3 Sm 0.1658 0.3309 0.3316  6 Bi 3.21-3.23
4 Ho 0.5000 0.5000 0.0000  6 Bi 3.15-3.18
5 Ho 0.8340 0.1665 0.6680  6 Bi 3.15-3.18
6 Ho 0.1660 0.8335 0.3320  6 Bi 3.15-3.18
7 Bi 0.3311 0.9204 0.6621  3 Ho 3.16-3.17, 2 Sm 3.22, 1 Ca 3.24
8 Bi 0.6656 0.5862 0.3313  3 Ho 3.18, 3 Sm 3.23
9 Bi 0.6689 0.0796 0.3379  3 Ho 3.16-3.17, 2 Sm 3.22, 1 Ca 3.24
10 Bi 0.9983 0.2564 0.9967  3 Ho 3.15, 1 Sm 3.21, 2 Ca 3.24
11 Bi 0.0017 0.7436 0.0033  3 Ho 3.15, 1 Sm 3.21, 2 Ca 3.24
12 Bi 0.3344 0.4138 0.6687  3 Ho 3.18, 3 Sm 3.23

---

# 2
## YIrW2 (GGA-PBE)

Data for a relaxed structure of YIrW2.

Properties
energy of formation	0.466	eV/atom
energy above the lowest structure with this stoichiometry	0.393	eV per atom

Cell: 10.0182 10.0182 10.0182 Å, 16.62 16.62 16.62°
Last column: nearest neighbours and their distance in Å.
Positions (direct):
1 Ir 0.7500 0.7500 0.7500  6 W 2.76, 6 Ir 2.89
2 W 0.0093 0.0093 0.0093  3 Ir 2.76, 6 W 2.89
3 W 0.4907 0.4907 0.4907  3 Ir 2.76, 6 W 2.89
4 Y 0.2500 0.2500 0.2500  6 Y 2.89, 6 W 3.21

---

# 3
## Er3Ga12Cu (GGA-PBE)

Data for a relaxed structure of Er3Ga12Cu.

Properties
energy of formation	-0.375	eV/atom

Cell: 4.2414 4.2414 16.4658 Å, 90.00 90.00 90.00°
Last column: nearest neighbours and their distance in Å.
Positions (direct):
1 Er 0.0000 0.0000 0.2388  12 Ga 3.00-3.04
2 Er 0.0000 0.0000 0.5000  12 Ga 3.00-3.02
3 Er 0.0000 0.0000 0.7612  12 Ga 3.00-3.04
4 Ga 0.5000 0.5000 0.0000  8 Ga 2.75, 4 Cu 3.00
5 Ga 0.5000 0.5000 0.2472  8 Ga 2.93-3.14, 4 Er 3.00
6 Ga 0.5000 0.5000 0.5000  4 Er 3.00, 8 Ga 3.02
7 Ga 0.5000 0.5000 0.7528  8 Ga 2.93-3.14, 4 Er 3.00
8 Ga 0.5000 0.0000 0.1064  2 Cu 2.75, 6 Ga 2.75-3.00, 2 Er 3.04
9 Ga 0.5000 0.0000 0.3696  8 Ga 2.93-3.02, 4 Er 3.02
10 Ga 0.5000 0.0000 0.6304  8 Ga 2.93-3.02, 4 Er 3.02
11 Ga 0.5000 0.0000 0.8936  2 Cu 2.75, 6 Ga 2.75-3.00, 2 Er 3.04
12 Ga 0.0000 0.5000 0.1064  2 Cu 2.75, 6 Ga 2.75-3.00, 2 Er 3.04
13 Ga 0.0000 0.5000 0.3696  8 Ga 2.93-3.02, 4 Er 3.02
14 Ga 0.0000 0.5000 0.6304  8 Ga 2.93-3.02, 4 Er 3.02
15 Ga 0.0000 0.5000 0.8936  2 Cu 2.75, 6 Ga 2.75-3.00, 2 Er 3.04
16 Cu 0.0000 0.0000 0.0000  12 Ga 2.75-3.00

---

# 4
## Cd2SbAs (GGA-PBE)

Data for a relaxed structure of Cd2SbAs.

Properties
formation energy (no corrections)	0.2049	eV per atom
energy above the lowest structure with this stoichiometry	0.170	eV per atom

Cell: 5.5624 5.5624 5.5624 Å, 131.53 131.53 70.97°
Last column: nearest neighbours and their distance in Å.
Positions (direct):
1 Sb 0.5000 0.5000 0.0000  4 As 3.22, 8 Cd 3.22-3.23
2 As 0.7500 0.2500 0.5000  8 Cd 3.22-3.23, 4 Sb 3.22
3 Cd 0.0000 0.0000 0.0000  4 Cd 3.22, 4 As 3.22, 4 Sb 3.23
4 Cd 0.2500 0.7500 0.5000  4 Cd 3.22, 4 Sb 3.22, 4 As 3.23

---

# 5
## MgPbBr2 (GGA-PBE)

Data for a relaxed structure of MgPbBr2.

Properties
formation energy (no corrections)	-0.4679	eV per atom
energy above the lowest structure with this stoichiometry	0.447	eV per atom

Cell: 3.7491 6.4810 4.7953 Å, 90.00 90.00 90.00°
Last column: nearest neighbours and their distance in Å.
Positions (direct):
1 Br 0.0000 0.0000 0.0000  4 Mg 3.04
2 Br 0.5000 0.5000 0.0000  4 Pb 3.04
3 Mg 0.5000 0.0000 0.5000  4 Br 3.04
4 Pb 0.0000 0.5000 0.5000  4 Br 3.04

---

# 6
## Ga2BTeMo (GGA-PBE)

Data for a relaxed structure of Ga2BTeMo.

Properties
formation energy (no corrections)	1.2066	eV per atom

Cell: 4.9688 5.1500 4.9688 Å, 90.00 90.00 90.00°
Last column: nearest neighbours and their distance in Å.
Positions (direct):
1 Mo 0.0000 0.0000 0.0000  4 Ga 2.48, 2 Te 2.58
2 Te 0.0000 0.5000 0.0000  2 Mo 2.58
3 B 0.5000 0.5000 0.5000  4 Te 3.51, 8 Ga 3.58
4 Ga 0.0000 0.0000 0.5000  2 Mo 2.48
5 Ga 0.5000 0.0000 0.0000  2 Mo 2.48

---

# 7
## Nd2YNi (GGA-PBE)

Data for a relaxed structure of Nd2YNi.

Properties
energy of formation	0.129	eV/atom
energy above the lowest structure with this stoichiometry	0.320	eV per atom

Cell: 3.6786 3.6786 10.7282 Å, 80.13 80.13 60.00°
Last column: nearest neighbours and their distance in Å.
Positions (direct):
1 Y 0.0000 0.0000 0.0000  2 Nd 3.48, 6 Y 3.68
2 Ni 0.5000 0.5000 0.5000  6 Nd 2.77
3 Nd 0.1104 0.1104 0.6687  3 Ni 2.77
4 Nd 0.8896 0.8896 0.3313  3 Ni 2.77

---

# 8
## PrDyIrPd (GGA-PBE)

Data for a relaxed structure of PrDyIrPd.

Properties
energy of formation	-0.773	eV/atom
energy above the lowest structure with this stoichiometry	0.000	eV per atom

Cell: 3.8410 4.4512 5.7323 Å, 90.00 109.57 90.00°
Last column: nearest neighbours and their distance in Å.
Positions (direct):
1 Pr 0.1426 0.0000 0.2852  3 Ir 2.90-3.15, 4 Pd 3.01
2 Dy 0.8641 0.5000 0.7283  4 Ir 2.98, 3 Pd 3.04-3.05
3 Ir 0.4113 0.0000 0.8226  2 Pd 2.89, 3 Pr 2.90-3.15, 4 Dy 2.98
4 Pd 0.5819 0.5000 0.1639  2 Ir 2.89, 4 Pr 3.01, 3 Dy 3.04-3.05

---

Number 1: theoretical density 8.85 Mg/m³. Number 2: theoretical density 15.03 Mg/m³. Number 3: theoretical density 7.86 Mg/m³. Number 4: theoretical density 7.41 Mg/m³. Number 5: theoretical density 5.58 Mg/m³. Number 6: theoretical density 4.88 Mg/m³. Number 7: theoretical density 5.88 Mg/m³. Number 8: theoretical density 10.83 Mg/m³.